[1]
# Tb3Y4Ho5

A relaxed Tb3Y4Ho5 crystal (PBE, Alexandria).

Cell and atoms, written as CIF:
```
data_Tb3Y4Ho5
_space_group_name_H-M_alt 'P -1'
_space_group_IT_number 2
_cell_length_a 6.146
_cell_length_b 7.101
_cell_length_c 8.685
_cell_angle_alpha 90.00
_cell_angle_beta 90.10
_cell_angle_gamma 90.12
loop_
_space_group_symop_operation_xyz
'x,y,z'
'-x,-y,-z'
loop_
_atom_site_label
_atom_site_type_symbol
_atom_site_fract_x
_atom_site_fract_y
_atom_site_fract_z
Tb1 Tb 0.000 0.000 0.000
Tb2 Tb 0.167 0.751 0.668
Y1 Y 0.167 0.249 0.667
Y2 Y 0.333 0.499 0.332
Ho1 Ho 0.000 0.500 0.000
Ho2 Ho 0.334 0.000 0.333
Ho3 Ho 0.499 0.751 0.000
```

Output
Excess energy over the best structure of this formula in the dataset   0 meV/atom
DFT total energy   -5.1988 eV per atom
Total moment   0.00 μB per cell
ΔH_f (0 K)   21 meV per atom

***

[2]
# Tb2Y7Ho

A relaxed Tb2Y7Ho crystal (PBE, Alexandria).

Cell and atoms, written as CIF:
```
data_Tb2Y7Ho
_space_group_name_H-M_alt 'C m m m'
_space_group_IT_number 65
_space_group_name_Hall '-C 2 2'
_cell_length_a 8.778
_cell_length_b 16.164
_cell_length_c 5.573
_cell_angle_alpha 90.00
_cell_angle_beta 90.00
_cell_angle_gamma 90.00
loop_
_atom_site_label
_atom_site_type_symbol
_atom_site_fract_x
_atom_site_fract_y
_atom_site_fract_z
Tb1 Tb 0.000 0.204 0.000
Y1 Y 0.000 0.000 0.000
Y2 Y 0.000 0.284 0.500
Y3 Y 0.177 0.386 0.000
Ho1 Ho 0.000 0.500 0.500
```

Output
Excess energy over the best structure of this formula in the dataset   490 meV/atom
DFT total energy   -5.2086 eV per atom
Total moment   0.00 μB per cell
ΔH_f (0 K)   700 meV per atom

***

Question: Which of these has the highest ΔH_f (0 K)?
Answer: Tb2Y7Ho

***

Question: Which value of DFT total energy does entry 1 give?
Answer: -5.1988 eV per atom

***

Question: Look up the DFT total energy of the second one.
Answer: -5.2086 eV per atom